V2CdF8, optimized geometry, DFT PBE with a Hubbard U; Fermi-level density of states = 0.0 states/eV per cell; distance to the lowest polymorph of the same formula = 0.000 eV/f.u.; volume = 159 Å³/cell; total moment = 4.0 μB/cell
1.0
5.010 -3.115 0.000
5.010 3.115 0.000
-0.885 0.000 5.088
V Cd F
2 1 8
Direct
0.224 0.224 0.491
0.776 0.776 0.509
0.500 0.500 0.000
0.108 0.108 0.730
0.132 0.574 0.691
0.344 0.344 0.229
0.426 0.868 0.309
0.574 0.132 0.691
0.656 0.656 0.771
0.868 0.426 0.309
0.892 0.892 0.270